This record from the Alexandria database describes an optimized crystal structure of BePt2Pb. The functional is GGA-PBE.

ΔE to the lowest computed polymorph = 84 meV/atom
DFT formation energy = -0.250 eV/atom
space group = Cmmm (65)
magnetization = 0.00 μB/cell

Cell: 2.995 2.995 7.365 Å, 90.00 90.00 90.13°
Element x y z (fractional)
Be 0.000 0.000 0.000
Pt 0.500 0.500 0.184
Pt 0.500 0.500 0.816
Pb 0.000 0.000 0.500


This record from the Alexandria database describes an optimized crystal structure of BePt2Pb. The functional is GGA-PBE.

ΔE to the lowest computed polymorph = 400 meV/atom
DFT formation energy = 0.066 eV/atom
space group = P4/mmm (123)
magnetization = 0.00 μB/cell

Cell: 4.082 4.082 3.968 Å, 90.00 90.00 90.00°
Element x y z (fractional)
Be 0.000 0.000 0.000
Pt 0.000 0.500 0.500
Pt 0.500 0.000 0.500
Pb 0.500 0.500 0.000


This record from the Alexandria database describes an optimized crystal structure of BePt2Pb. The functional is GGA-PBE.

ΔE to the lowest computed polymorph = 402 meV/atom
DFT formation energy = 0.069 eV/atom
space group = Cmmm (65)
magnetization = 0.00 μB/cell

Cell: 4.305 4.305 3.638 Å, 90.00 90.00 96.90°
Element x y z (fractional)
Be 0.000 0.000 0.000
Pt 0.000 0.500 0.500
Pt 0.500 0.000 0.500
Pb 0.500 0.500 0.000


This record from the Alexandria database describes an optimized crystal structure of Be2Pt2Pb. The functional is GGA-PBE.

ΔE to the lowest computed polymorph = 142 meV/atom
DFT formation energy = -0.224 eV/atom
space group = P4/mbm (127)
magnetization = 0.00 μB/cell

Cell: 7.364 7.364 2.821 Å, 90.00 90.00 90.00°
Element x y z (fractional)
Be 0.129 0.371 0.000
Be 0.371 0.871 0.000
Be 0.629 0.129 0.000
Be 0.871 0.629 0.000
Pt 0.144 0.644 0.500
Pt 0.356 0.144 0.500
Pt 0.644 0.856 0.500
Pt 0.856 0.356 0.500
Pb 0.000 0.000 0.500
Pb 0.500 0.500 0.500


This record from the Alexandria database describes an optimized crystal structure of BePt2Pb. The functional is GGA-PBE.

ΔE to the lowest computed polymorph = 38 meV/atom
DFT formation energy = -0.296 eV/atom
space group = R-3m (166)
magnetization = 0.00 μB/cell

Cell: 6.232 6.232 6.232 Å, 34.73 34.73 34.73°
Element x y z (fractional)
Be 0.000 0.000 0.000
Pt 0.280 0.280 0.280
Pt 0.720 0.720 0.720
Pb 0.500 0.500 0.500


This record from the Alexandria database describes an optimized crystal structure of BePt2Pb. The functional is GGA-PBE.

ΔE to the lowest computed polymorph = 504 meV/atom
DFT formation energy = 0.171 eV/atom
space group = F-43m (216)
magnetization = 0.00 μB/cell

Cell: 4.571 4.571 4.571 Å, 60.00 60.00 60.00°
Element x y z (fractional)
Be 0.000 0.000 0.000
Pt 0.500 0.500 0.500
Pt 0.750 0.750 0.750
Pb 0.250 0.250 0.250


This record from the Alexandria database describes an optimized crystal structure of BePt2Pb. The functional is GGA-PBE.

ΔE to the lowest computed polymorph = 152 meV/atom
DFT formation energy = -0.182 eV/atom
space group = P4mm (99)
magnetization = 0.00 μB/cell

Cell: 3.277 3.277 6.448 Å, 90.00 90.00 90.00°
Element x y z (fractional)
Be 0.000 0.000 0.000
Pt 0.000 0.000 0.645
Pt 0.500 0.500 0.938
Pb 0.500 0.500 0.381


This record from the Alexandria database describes an optimized crystal structure of BeSbPt2Pb. The functional is GGA-PBE.

space group = P4/mmm (123)
magnetization = 0.00 μB/cell
formation energy from raw total energies = 1522 meV/atom

Cell: 5.086 5.086 5.699 Å, 90.00 90.00 90.00°
Element x y z (fractional)
Be 0.000 0.000 0.000
Sb 0.500 0.500 0.000
Pt 0.000 0.500 0.500
Pt 0.500 0.000 0.500
Pb 0.500 0.500 0.500